Below is a geometry-optimized ZrBeFe2 structure, with properties calculated at the PBE-GGA level.

Structure (POSCAR):
```
ZrBeFe2
1.0
-2.4868 -0.1170 -1.5803
1.3900 -1.5728 -2.0710
-1.5815 -5.1792 2.8720
Zr Fe Be
1 2 1
Cartesian
-0.7916 -2.5923 1.4375
-1.5591 -5.1057 2.8313
-0.8632 -1.8760 -1.2538
-1.8366 -5.0637 0.5138
```

The calculation puts the size of the total moment at 3.9 μB per formula unit. As for the energy of formation: -29 meV/atom. As for the calculated total energy: -7.329 eV per atom. Its density of states at the Fermi level is 2.6 states/eV/f.u.

***

Below is a geometry-optimized ZrBe2Fe structure, with properties calculated at the PBE-GGA level.

Structure (POSCAR):
```
ZrBe2Fe
1.0
-0.7654 -7.7486 3.2685
1.1591 -8.2443 1.4134
1.8463 -7.2799 3.8605
Zr Be Fe
1 2 1
Cartesian
1.6800 -17.4546 6.4068
2.2103 -22.9641 8.4291
1.1497 -11.9450 4.3845
0.5600 -5.8182 2.1356
```

The calculation puts the size of the total moment at 1.7 μB per formula unit. As for the energy of formation: 379 meV/atom. As for the calculated total energy: -5.737 eV per atom. Its density of states at the Fermi level is 2.4 states/eV/f.u. The polymorph energy (0 for the lowest one) comes out at 0.4967 eV/atom.

***

Below is a geometry-optimized ZrBeFe4 structure, with properties calculated at the PBE-GGA level.

Structure (POSCAR):
```
ZrBeFe4
1.0
1.3844 3.5860 2.8054
-3.0770 1.9501 3.0619
0.5272 -0.7047 4.6767
Fe Zr Be
4 1 1
Cartesian
-0.1684 1.4477 6.3049
-1.9927 2.7914 5.4875
-0.4352 1.8043 3.9377
0.2655 3.6194 5.3577
-0.8741 3.6236 7.9080
0.0000 0.0000 0.0000
```

The calculation puts the size of the total moment at 5.5 μB per formula unit. As for the energy of formation: -68 meV/atom. As for the calculated total energy: -7.756 eV per atom. Its density of states at the Fermi level is 3.0 states/eV/f.u.

***

Below is a geometry-optimized Zr2BeFe structure, with properties calculated at the PBE-GGA level.

Structure (POSCAR):
```
Zr2BeFe
1.0
-3.3587 -2.5462 3.1068
-2.9504 -3.7679 -2.1244
5.0605 1.3417 0.0816
Fe Zr Be
1 2 1
Cartesian
-0.7264 -2.1808 1.8397
0.0000 0.0000 0.0000
-0.5222 -2.7916 -0.7758
-3.1545 -3.1571 0.4912
```

The calculation puts the size of the total moment at 1.2 μB per formula unit. As for the energy of formation: 92 meV/atom. As for the calculated total energy: -7.230 eV per atom. Its density of states at the Fermi level is 4.2 states/eV/f.u.

***

Below is a geometry-optimized ZrBeFe structure, with properties calculated at the PBE-GGA level.

Structure (POSCAR):
```
ZrBeFe
1.0
-4.1073 0.5652 0.3629
-1.7480 0.1988 3.7718
-1.4852 3.6204 1.4171
Be Zr Fe
1 1 1
Cartesian
0.0000 0.0000 0.0000
-5.5054 3.2883 4.1639
-3.6703 2.1922 2.7759
```

The calculation puts the size of the total moment at 0.0 μB per formula unit. As for the energy of formation: 935 meV/atom. As for the calculated total energy: -5.978 eV per atom. Its density of states at the Fermi level is 2.5 states/eV/f.u. The polymorph energy (0 for the lowest one) comes out at 1.1280 eV/atom.

***

Below is a geometry-optimized ZrBeFe structure, with properties calculated at the PBE-GGA level.

Structure (POSCAR):
```
ZrBeFe
1.0
-4.5530 -0.3440 1.7793
0.3947 -2.5044 0.5258
2.5349 0.4407 6.5716
Fe Zr Be
2 2 2
Cartesian
0.0000 0.0000 0.0000
-2.2765 -0.1720 0.8897
-0.1494 -0.7650 2.8438
-1.4740 -1.6427 6.0329
-2.3876 -2.3043 3.5672
0.7642 -0.1033 5.3095
```

The calculation puts the size of the total moment at 1.9 μB per formula unit. As for the energy of formation: 211 meV/atom. As for the calculated total energy: -6.701 eV per atom. Its density of states at the Fermi level is 2.8 states/eV/f.u. The polymorph energy (0 for the lowest one) comes out at 0.4045 eV/atom.